# 1
CdPbIO2, PBEsol geometry, DFT meta-GGA SCAN; size of the total moment = 0.17 μB per atom; V = 21.6 Å³ per atom; raw formation energy = -1.56 kcal/mol of atoms
1.0
4.3938 0.0000 0.0000
0.0000 4.3938 0.0000
0.0000 0.0000 5.6056
Pb I O Cd
1 1 2 1
Direct
0.5000 0.5000 0.5000
0.0000 0.0000 0.5000
0.0000 0.5000 0.0000
0.5000 0.0000 0.0000
0.0000 0.0000 0.0000

=====

# 2
Ta2CrHgBr, PBEsol geometry, DFT meta-GGA SCAN; size of the total moment = 0.68 μB per atom; V = 23.0 Å³ per atom; raw formation energy = 40.18 kcal/mol of atoms
1.0
4.6406 0.0000 0.0000
0.0000 4.6406 0.0000
0.0000 0.0000 5.3498
Cr Hg Br Ta
1 1 1 2
Direct
0.5000 0.5000 0.5000
0.0000 0.0000 0.5000
0.0000 0.0000 0.0000
0.0000 0.5000 0.0000
0.5000 0.0000 0.0000